Ta2Re2Ru | PBE | relaxed

a = 7.2664 Å, b = 7.2664 Å, c = 3.2029 Å
α = 90.00°, β = 90.00°, γ = 90.00°
With the nearest neighbours (Å) after each atom.
Atoms (fractional coordinates):
1 Re 0.3754 0.8754 0.0000  1 Re 2.56, 6 Ta 2.57-2.76
2 Re 0.8754 0.6246 0.0000  1 Re 2.56, 6 Ta 2.57-2.76
3 Re 0.6246 0.1246 0.0000  1 Re 2.56, 6 Ta 2.57-2.76
4 Re 0.1246 0.3754 0.0000  1 Re 2.56, 6 Ta 2.57-2.76
5 Ru 0.0000 0.0000 0.0000  4 Re 2.87, 8 Ta 3.11, 2 Ru 3.20
6 Ru 0.5000 0.5000 0.0000  4 Re 2.87, 8 Ta 3.11, 2 Ru 3.20
7 Ta 0.1802 0.6802 0.5000  6 Re 2.57-2.76
8 Ta 0.6802 0.8198 0.5000  6 Re 2.57-2.76
9 Ta 0.8198 0.3198 0.5000  6 Re 2.57-2.76
10 Ta 0.3198 0.1802 0.5000  6 Re 2.57-2.76

Output
Space group ... P4/mbm, No. 127
Calculated density ... 16.4 g/cm3
Polymorph energy (0 for the lowest one) ... 0.000 eV per atom
Energy ... -112.5 eV for the cell shown